[1]
An optimized crystal structure of CuReIr2, computed with PBE.

Properties
The calculation puts the density of states at the Fermi level at 4.42 states/eV/cell. The energy relative to the lowest polymorph listed for this composition comes out at 393.6 meV/atom. For the formation energy, the calculation gives 300 meV per atom. The value obtained for the total magnetization is 0.0 Bohr magnetons per cell. As for the energy: -0.6076 Ry per atom. For the mass density, the calculation gives 18.2 g/cm3.

Cell and atoms, written as CIF:
```
data_CuReIr2
_space_group_name_H-M_alt 'P 4/m m m'
_space_group_IT_number 123
_space_group_name_Hall '-P 4 2'
_cell_length_a 4.564
_cell_length_b 4.564
_cell_length_c 2.775
_cell_angle_alpha 90.00
_cell_angle_beta 90.00
_cell_angle_gamma 90.00
loop_
_atom_site_label
_atom_site_fract_x
_atom_site_fract_y
_atom_site_fract_z
Cu1 0.000 0.000 0.000
Re1 0.500 0.500 0.000
Ir1 0.000 0.500 0.500
```

***

[2]
An optimized crystal structure of CuReIr, computed with PBE.

Properties
The calculation puts the density of states at the Fermi level at 3.05 states/eV/cell. The energy relative to the lowest polymorph listed for this composition comes out at 0.0 meV/atom. For the formation energy, the calculation gives 29 meV per atom. The value obtained for the total magnetization is 0.0 Bohr magnetons per cell. As for the energy: -0.6203 Ry per atom. For the mass density, the calculation gives 17.6 g/cm3.

Cell and atoms, written as CIF:
```
data_CuReIr
_space_group_name_H-M_alt 'I m m 2'
_space_group_IT_number 44
_space_group_name_Hall 'I 2 -2'
_cell_length_a 2.744
_cell_length_b 3.797
_cell_length_c 7.983
_cell_angle_alpha 90.00
_cell_angle_beta 90.00
_cell_angle_gamma 90.00
loop_
_atom_site_label
_atom_site_fract_x
_atom_site_fract_y
_atom_site_fract_z
Cu1 0.000 0.000 0.000
Re1 0.000 0.000 0.331
Ir1 0.000 0.000 0.671
```

***

[3]
An optimized crystal structure of Cu2ReIr, computed with PBE.

Properties
The calculation puts the density of states at the Fermi level at 5.58 states/eV/cell. The energy relative to the lowest polymorph listed for this composition comes out at 119.9 meV/atom. For the formation energy, the calculation gives 184 meV per atom. The value obtained for the total magnetization is 0.0 Bohr magnetons per cell. As for the energy: -0.5286 Ry per atom. For the mass density, the calculation gives 15.6 g/cm3.

Cell and atoms, written as CIF:
```
data_Cu2ReIr
_space_group_name_H-M_alt 'I -4 m 2'
_space_group_IT_number 119
_space_group_name_Hall 'I -4 -2'
_cell_length_a 3.873
_cell_length_b 3.873
_cell_length_c 7.169
_cell_angle_alpha 90.00
_cell_angle_beta 90.00
_cell_angle_gamma 90.00
loop_
_atom_site_label
_atom_site_fract_x
_atom_site_fract_y
_atom_site_fract_z
Cu1 0.000 0.000 0.000
Cu2 0.000 0.500 0.250
Re1 0.000 0.000 0.500
Ir1 0.000 0.500 0.750
```

***

[4]
An optimized crystal structure of CuReIr2, computed with PBE.

Properties
The calculation puts the density of states at the Fermi level at 4.38 states/eV/cell. The energy relative to the lowest polymorph listed for this composition comes out at 333.5 meV/atom. For the formation energy, the calculation gives 240 meV per atom. The value obtained for the total magnetization is 0.0 Bohr magnetons per cell. As for the energy: -0.6120 Ry per atom. For the mass density, the calculation gives 18.6 g/cm3.

Cell and atoms, written as CIF:
```
data_CuReIr2
_space_group_name_H-M_alt 'P 4/m m m'
_space_group_IT_number 123
_space_group_name_Hall '-P 4 2'
_cell_length_a 3.901
_cell_length_b 3.901
_cell_length_c 3.727
_cell_angle_alpha 90.00
_cell_angle_beta 90.00
_cell_angle_gamma 90.00
loop_
_atom_site_label
_atom_site_fract_x
_atom_site_fract_y
_atom_site_fract_z
Cu1 0.000 0.000 0.000
Re1 0.500 0.500 0.000
Ir1 0.000 0.500 0.500
```

***

[5]
An optimized crystal structure of Cu2ReIr, computed with PBE.

Properties
The calculation puts the density of states at the Fermi level at 2.17 states/eV/cell. The energy relative to the lowest polymorph listed for this composition comes out at 168.2 meV/atom. For the formation energy, the calculation gives 232 meV per atom. The value obtained for the total magnetization is 0.0 Bohr magnetons per cell. As for the energy: -0.5250 Ry per atom. For the mass density, the calculation gives 15.4 g/cm3.

Cell and atoms, written as CIF:
```
data_Cu2ReIr
_space_group_name_H-M_alt 'F -4 3 m'
_space_group_IT_number 216
_space_group_name_Hall 'F -4 2 3'
_cell_length_a 6.018
_cell_length_b 6.018
_cell_length_c 6.018
_cell_angle_alpha 90.00
_cell_angle_beta 90.00
_cell_angle_gamma 90.00
loop_
_atom_site_label
_atom_site_fract_x
_atom_site_fract_y
_atom_site_fract_z
Cu1 0.000 0.000 0.000
Cu2 0.250 0.250 0.250
Re1 0.250 0.250 0.750
Ir1 0.000 0.000 0.500
```

***

[6]
An optimized crystal structure of Cu2ReIr, computed with PBE.

Properties
The calculation puts the density of states at the Fermi level at 4.06 states/eV/cell. The energy relative to the lowest polymorph listed for this composition comes out at 269.9 meV/atom. For the formation energy, the calculation gives 334 meV per atom. The value obtained for the total magnetization is 0.0 Bohr magnetons per cell. As for the energy: -0.5175 Ry per atom. For the mass density, the calculation gives 15.5 g/cm3.

Cell and atoms, written as CIF:
```
data_Cu2ReIr
_space_group_name_H-M_alt 'P m m m'
_space_group_IT_number 47
_space_group_name_Hall '-P 2 2'
_cell_length_a 2.680
_cell_length_b 3.913
_cell_length_c 5.171
_cell_angle_alpha 90.00
_cell_angle_beta 90.00
_cell_angle_gamma 90.00
loop_
_atom_site_label
_atom_site_fract_x
_atom_site_fract_y
_atom_site_fract_z
Cu1 0.000 0.000 0.248
Re1 0.500 0.500 0.000
Ir1 0.500 0.500 0.500
```

***

[7]
An optimized crystal structure of CuRe4Ir, computed with PBE.

Properties
The calculation puts the density of states at the Fermi level at 21.37 states/eV/cell. For the formation energy, the calculation gives 624 meV per atom. The value obtained for the total magnetization is 0.0 Bohr magnetons per cell. As for the energy: -0.7228 Ry per atom. For the mass density, the calculation gives 17.4 g/cm3.

Cell and atoms, written as CIF:
```
data_CuRe4Ir
_space_group_name_H-M_alt 'F -4 3 m'
_space_group_IT_number 216
_space_group_name_Hall 'F -4 2 3'
_cell_length_a 7.250
_cell_length_b 7.250
_cell_length_c 7.250
_cell_angle_alpha 90.00
_cell_angle_beta 90.00
_cell_angle_gamma 90.00
loop_
_atom_site_label
_atom_site_fract_x
_atom_site_fract_y
_atom_site_fract_z
Cu1 0.000 0.000 0.000
Re1 0.126 0.126 0.374
Ir1 0.250 0.250 0.750
```

***

[8]
An optimized crystal structure of CuReIr, computed with PBE.

Properties
The calculation puts the density of states at the Fermi level at 6.74 states/eV/cell. The energy relative to the lowest polymorph listed for this composition comes out at 270.4 meV/atom. For the formation energy, the calculation gives 299 meV per atom. The value obtained for the total magnetization is 0.0 Bohr magnetons per cell. As for the energy: -0.6004 Ry per atom. For the mass density, the calculation gives 17.0 g/cm3.

Cell and atoms, written as CIF:
```
data_CuReIr
_space_group_name_H-M_alt 'F m m 2'
_space_group_IT_number 42
_space_group_name_Hall 'F 2 -2'
_cell_length_a 2.771
_cell_length_b 4.603
_cell_length_c 13.559
_cell_angle_alpha 90.00
_cell_angle_beta 90.00
_cell_angle_gamma 90.00
loop_
_atom_site_label
_atom_site_fract_x
_atom_site_fract_y
_atom_site_fract_z
Cu1 0.000 0.000 0.000
Re1 0.000 0.000 0.667
Ir1 0.000 0.000 0.332
```

***

[9]
An optimized crystal structure of Cu2ReIr, computed with PBE.

Properties
The calculation puts the density of states at the Fermi level at 16.12 states/eV/cell. The energy relative to the lowest polymorph listed for this composition comes out at 833.2 meV/atom. For the formation energy, the calculation gives 897 meV per atom. The value obtained for the total magnetization is 0.0 Bohr magnetons per cell. As for the energy: -0.4761 Ry per atom. For the mass density, the calculation gives 14.3 g/cm3.

Cell and atoms, written as CIF:
```
data_Cu2ReIr
_space_group_name_H-M_alt 'I -4 2 d'
_space_group_IT_number 122
_space_group_name_Hall 'I -4 2bw'
_cell_length_a 6.816
_cell_length_b 6.816
_cell_length_c 5.060
_cell_angle_alpha 90.00
_cell_angle_beta 90.00
_cell_angle_gamma 90.00
loop_
_atom_site_label
_atom_site_fract_x
_atom_site_fract_y
_atom_site_fract_z
Cu1 0.249 0.750 0.125
Re1 0.000 0.000 0.000
Ir1 0.000 0.000 0.500
```

***

[10]
An optimized crystal structure of Cu2ReIr, computed with PBE.

Properties
The calculation puts the density of states at the Fermi level at 4.61 states/eV/cell. The energy relative to the lowest polymorph listed for this composition comes out at 258.3 meV/atom. For the formation energy, the calculation gives 322 meV per atom. The value obtained for the total magnetization is 0.0 Bohr magnetons per cell. As for the energy: -0.5184 Ry per atom. For the mass density, the calculation gives 15.5 g/cm3.

Cell and atoms, written as CIF:
```
data_Cu2ReIr
_space_group_name_H-M_alt 'P 4/m m m'
_space_group_IT_number 123
_space_group_name_Hall '-P 4 2'
_cell_length_a 2.629
_cell_length_b 2.629
_cell_length_c 7.827
_cell_angle_alpha 90.00
_cell_angle_beta 90.00
_cell_angle_gamma 90.00
loop_
_atom_site_label
_atom_site_fract_x
_atom_site_fract_y
_atom_site_fract_z
Cu1 0.000 0.000 0.248
Re1 0.500 0.500 0.500
Ir1 0.500 0.500 0.000
```

***

[11]
An optimized crystal structure of CuReIr2, computed with PBE.

Properties
The calculation puts the density of states at the Fermi level at 2.00 states/eV/cell. The energy relative to the lowest polymorph listed for this composition comes out at 0.0 meV/atom. For the formation energy, the calculation gives -94 meV per atom. The value obtained for the total magnetization is 0.0 Bohr magnetons per cell. As for the energy: -0.6365 Ry per atom. For the mass density, the calculation gives 18.7 g/cm3.

Cell and atoms, written as CIF:
```
data_CuReIr2
_space_group_name_H-M_alt 'P 4/m m m'
_space_group_IT_number 123
_space_group_name_Hall '-P 4 2'
_cell_length_a 2.777
_cell_length_b 2.777
_cell_length_c 7.314
_cell_angle_alpha 90.00
_cell_angle_beta 90.00
_cell_angle_gamma 90.00
loop_
_atom_site_label
_atom_site_fract_x
_atom_site_fract_y
_atom_site_fract_z
Cu1 0.000 0.000 0.000
Re1 0.000 0.000 0.500
Ir1 0.500 0.500 0.250
```

***

[12]
An optimized crystal structure of Cu2ReIr, computed with PBE.

Properties
The calculation puts the density of states at the Fermi level at 4.09 states/eV/cell. The energy relative to the lowest polymorph listed for this composition comes out at 133.2 meV/atom. For the formation energy, the calculation gives 197 meV per atom. The value obtained for the total magnetization is 0.0 Bohr magnetons per cell. As for the energy: -0.5276 Ry per atom. For the mass density, the calculation gives 15.4 g/cm3.

Cell and atoms, written as CIF:
```
data_Cu2ReIr
_space_group_name_H-M_alt 'P 1 2/m 1'
_space_group_IT_number 10
_space_group_name_Hall '-P 2y'
_cell_length_a 4.611
_cell_length_b 2.698
_cell_length_c 4.643
_cell_angle_alpha 90.00
_cell_angle_beta 109.31
_cell_angle_gamma 90.00
loop_
_atom_site_label
_atom_site_fract_x
_atom_site_fract_y
_atom_site_fract_z
Cu1 0.000 0.000 0.000
Cu2 0.500 0.500 0.000
Re1 0.000 0.500 0.500
Ir1 0.500 0.000 0.500
```

***

Among the records above, which one has the highest mass density? number 11

***

Among the records above, which one has the highest mass density? number 11

***

formation energy of number 7 (CuRe4Ir)? 624 meV per atom

***

Which formula does entry 3 have? Cu2ReIr